Entry from Alexandria via LeMat-Bulk: a relaxed structure of Fe3MoO (GGA+U).

Values from the calculation:
crystal system = cubic
energy above the most stable polymorph in this dataset = 41.50 kcal/mol of atoms
total magnetic moment = 8.319 μB/f.u.
theoretical density = 4.17 g/cm3
E_tot = -17.76 eV for the cell shown

```
Fe3MoO
1.0
4.810 0.000 0.000
0.000 4.810 0.000
0.000 0.000 4.810
Fe Mo O
3 1 1
direct
0.000 0.000 0.500
0.000 0.500 0.000
0.500 0.000 0.000
0.000 0.000 0.000
0.500 0.500 0.500
```